Density functional theory data (PBE) for a relaxed structure of KGeMo3.

## Properties
VASP energy: -0.2186 hartree per atom
D(E_F): 1.602 states/eV/atom
relative energy among the computed polymorphs: 0 meV per atom

Cell lengths 4.8098, 4.8098, 4.8098 Å; angles 90.00, 90.00, 90.00 degrees
With the nearest neighbours (Å) after each atom.
Space group Pm-3m (No. 221)
Inequivalent atoms, fractional coordinates:
K: 0.0000 0.0000 0.0000  12 Mo 3.40
Ge: 0.5000 0.5000 0.5000  6 Mo 2.40
Mo: 0.0000 0.5000 0.5000  2 Ge 2.40

Density functional theory data (PBE) for a relaxed structure of CrAs3Se.

## Properties
VASP energy: -0.1613 hartree per atom
raw formation energy: 1.02 eV/atom
D(E_F): 0.562 states/eV/atom
relative energy among the computed polymorphs: 715 meV per atom

Cell lengths 4.9807, 4.9807, 4.9807 Å; angles 90.00, 90.00, 90.00 degrees
With the nearest neighbours (Å) after each atom.
Space group Pm-3m (No. 221)
Inequivalent atoms, fractional coordinates:
Cr: 0.0000 0.0000 0.0000  12 As 3.52
As: 0.0000 0.5000 0.5000  2 Se 2.49
Se: 0.5000 0.5000 0.5000  6 As 2.49

Density functional theory data (PBE) for a relaxed structure of TiNbPt4.

## Properties
VASP energy: -0.2778 hartree per atom
D(E_F): 0.671 states/eV/atom
relative energy among the computed polymorphs: 154 meV per atom

Cell lengths 8.2334, 3.9363, 7.7844 Å; angles 90.00, 118.57, 90.00 degrees
With the nearest neighbours (Å) after each atom.
Space group C2/m (No. 12)
Inequivalent atoms, fractional coordinates:
Ti: 0.0000 0.0000 0.0000  8 Pt 2.63-2.66
Nb: 0.0000 0.0000 0.5000  8 Pt 2.67-2.68
Pt: 0.2467 0.5000 0.1205  3 Ti 2.66, 1 Nb 2.68, 4 Pt 2.74-2.77
Pt: 0.2482 0.0000 0.3723  1 Ti 2.63, 3 Nb 2.67-2.68, 4 Pt 2.77-2.79

Density functional theory data (PBE) for a relaxed structure of Sm8GeTe3Se4.

## Properties
VASP energy: -0.2088 hartree per atom
raw formation energy: -1.57 eV/atom
D(E_F): 0.416 states/eV/atom

Cell lengths 8.5977, 8.5977, 20.9984 Å; angles 90.00, 90.00, 120.00 degrees
With the nearest neighbours (Å) after each atom.
Space group R-3m (No. 166, hexagonal axes)
Inequivalent atoms, fractional coordinates:
Sm: 0.0000 0.0000 0.2393  3 Se 2.91, 3 Te 3.17
Sm: 0.0211 0.5106 0.7533  3 Se 2.94-3.13, 1 Ge 2.95, 2 Te 3.14
Ge: 0.0000 0.0000 0.0000  6 Sm 2.95
Te: 0.0000 0.5000 0.0000  6 Sm 3.14-3.17
Se: 0.0000 0.0000 0.5000  6 Sm 3.13
Se: 0.0000 0.5000 0.5000  6 Sm 2.91-2.94

Density functional theory data (PBE) for a relaxed structure of DyLuBr2.

## Properties
VASP energy: -0.1494 hartree per atom
raw formation energy: -0.95 eV/atom
D(E_F): 0.467 states/eV/atom

Cell lengths 3.6313, 3.6313, 29.7385 Å; angles 90.00, 90.00, 120.00 degrees
With the nearest neighbours (Å) after each atom.
Space group R-3m (No. 166, hexagonal axes)
Inequivalent atoms, fractional coordinates:
Dy: 0.0000 0.0000 0.0000  6 Br 2.98
Lu: 0.0000 0.0000 0.5000  2 Br 2.84
Br: 0.0000 0.0000 0.4044  1 Lu 2.84, 3 Dy 2.98

Density functional theory data (PBE) for a relaxed structure of InHg3.

## Properties
VASP energy: -0.0329 hartree per atom
D(E_F): 0.403 states/eV/atom

Cell lengths 3.3291, 5.3851, 6.0064 Å; angles 90.00, 94.16, 90.00 degrees
With the nearest neighbours (Å) after each atom.
Space group P2/m (No. 10)
Inequivalent atoms, fractional coordinates:
In: 0.0000 0.0000 0.0000  8 Hg 3.21-3.54, 2 In 3.33
Hg: 0.2323 0.5000 0.7495  2 In 3.21, 7 Hg 3.24-3.48
Hg: 0.5000 0.0000 0.5000  6 Hg 3.24-3.33, 4 In 3.33-3.54

Density functional theory data (PBE) for a relaxed structure of Ca3Al8Ag3.

## Properties
VASP energy: -0.1268 hartree per atom
D(E_F): 0.436 states/eV/atom

Cell lengths 4.4479, 10.0865, 12.7500 Å; angles 90.00, 90.00, 90.00 degrees
With the nearest neighbours (Å) after each atom.
Space group Immm (No. 71)
Inequivalent atoms, fractional coordinates:
Ca: 0.0000 0.0000 0.0000  12 Al 3.30-3.32
Ca: 0.0000 0.0000 0.3021  8 Al 3.15-3.25, 4 Ag 3.25-3.36
Al: 0.0000 0.2802 0.1331  3 Al 2.70-2.76, 3 Ag 2.79-2.80
Al: 0.0000 0.3671 0.3381  1 Ag 2.65, 4 Al 2.68-2.76
Ag: 0.0000 0.2026 0.5000  6 Al 2.65-2.80
Ag: 0.0000 0.5000 0.0000  4 Al 2.79, 4 Ag 3.02

Density functional theory data (PBE) for a relaxed structure of KTl2Os.

## Properties
VASP energy: -0.1181 hartree per atom
D(E_F): 0.537 states/eV/atom
relative energy among the computed polymorphs: 501 meV per atom

Cell lengths 4.4494, 4.4494, 10.0734 Å; angles 90.00, 90.00, 90.00 degrees
With the nearest neighbours (Å) after each atom.
Space group I-4m2 (No. 119)
Inequivalent atoms, fractional coordinates:
K: 0.0000 0.0000 0.0000  8 Tl 3.15-3.36, 4 Os 3.36
Tl: 0.0000 0.0000 0.5000  4 K 3.15, 4 Tl 3.36, 4 Os 3.36
Tl: 0.0000 0.5000 0.2500  4 Os 3.15, 4 Tl 3.36, 4 K 3.36
Os: 0.0000 0.5000 0.7500  8 Tl 3.15-3.36, 4 K 3.36

Density functional theory data (PBE) for a relaxed structure of Pm6As2Se3.

## Properties
VASP energy: -0.2164 hartree per atom
raw formation energy: -1.50 eV/atom
D(E_F): 0.599 states/eV/atom

Cell lengths 7.0939, 7.0939, 7.1511 Å; angles 90.00, 90.00, 120.00 degrees
With the nearest neighbours (Å) after each atom.
Space group P-31m (No. 162)
Inequivalent atoms, fractional coordinates:
Pm: 0.0000 0.3359 0.2428  2 As 2.93, 3 Se 2.95-2.99
As: 0.3333 0.6667 0.0000  6 Pm 2.93
Se: 0.0000 0.0000 0.0000  6 Pm 2.95
Se: 0.3333 0.6667 0.5000  6 Pm 2.99

Density functional theory data (PBE) for a relaxed structure of Sc2Mo.

## Properties
VASP energy: -0.2722 hartree per atom
D(E_F): 1.020 states/eV/atom
relative energy among the computed polymorphs: 409 meV per atom

Cell lengths 4.8644, 4.8644, 2.9834 Å; angles 90.00, 90.00, 90.00 degrees
With the nearest neighbours (Å) after each atom.
Space group P4/mmm (No. 123)
Inequivalent atoms, fractional coordinates:
Sc: 0.0000 0.5000 0.0000  4 Mo 2.85, 2 Sc 2.98
Mo: 0.0000 0.0000 0.5000  8 Sc 2.85, 2 Mo 2.98

Density functional theory data (PBE) for a relaxed structure of MgSb2S.

## Properties
VASP energy: -0.1208 hartree per atom
raw formation energy: 0.20 eV/atom
D(E_F): 0.744 states/eV/atom
relative energy among the computed polymorphs: 317 meV per atom

Cell lengths 7.1808, 7.1808, 7.1808 Å; angles 90.00, 90.00, 90.00 degrees
With the nearest neighbours (Å) after each atom.
Space group Fm-3m (No. 225)
Inequivalent atoms, fractional coordinates:
Mg: 0.0000 0.0000 0.0000  8 Sb 3.11
Sb: 0.2500 0.2500 0.2500  4 S 3.11, 4 Mg 3.11
S: 0.0000 0.0000 0.5000  8 Sb 3.11

Density functional theory data (PBE) for a relaxed structure of Cs3KAs2O6.

## Properties
VASP energy: -0.1855 hartree per atom
raw formation energy: -1.49 eV/atom
D(E_F): 0.132 states/eV/atom

Cell lengths 6.6246, 6.6246, 7.9432 Å; angles 90.00, 90.00, 120.00 degrees
With the nearest neighbours (Å) after each atom.
Space group P-3m1 (No. 164)
Inequivalent atoms, fractional coordinates:
Cs: 0.0000 0.0000 0.0000  6 O 3.15
Cs: 0.3333 0.6667 0.6684  9 O 3.34-3.45, 1 As 3.59
K: 0.0000 0.0000 0.5000  6 O 2.76
As: 0.3333 0.6667 0.2162  3 O 1.74
O: 0.1900 0.3800 0.2861  1 As 1.74

Density functional theory data (PBE) for a relaxed structure of MgGa4Ir5.

## Properties
VASP energy: -0.2293 hartree per atom
D(E_F): 0.142 states/eV/atom

Cell lengths 3.0632, 3.0632, 15.3619 Å; angles 90.00, 90.00, 90.00 degrees
With the nearest neighbours (Å) after each atom.
Space group P4/mmm (No. 123)
Inequivalent atoms, fractional coordinates:
Mg: 0.0000 0.0000 0.0000  8 Ir 2.72, 2 Ga 3.04
Ga: 0.0000 0.0000 0.1982  8 Ir 2.58-2.69
Ga: 0.0000 0.0000 0.3997  8 Ir 2.63-2.66
Ir: 0.5000 0.5000 0.1075  4 Ga 2.58, 4 Mg 2.72
Ir: 0.5000 0.5000 0.3025  8 Ga 2.63-2.69
Ir: 0.5000 0.5000 0.5000  8 Ga 2.66

Density functional theory data (PBE) for a relaxed structure of ZnCr.

## Properties
VASP energy: -0.1710 hartree per atom
D(E_F): 0.473 states/eV/atom

Cell lengths 5.1921, 5.1921, 5.1921 Å; angles 90.00, 90.00, 90.00 degrees
With the nearest neighbours (Å) after each atom.
Space group Fm-3m (No. 225)
Inequivalent atoms, fractional coordinates:
Zn: 0.0000 0.0000 0.0000  6 Cr 2.60
Cr: 0.0000 0.0000 0.5000  6 Zn 2.60

Density functional theory data (PBE) for a relaxed structure of Tb3Ag2Pd8.

## Properties
VASP energy: -0.1894 hartree per atom
D(E_F): 0.581 states/eV/atom

Cell lengths 5.3514, 5.3514, 30.7302 Å; angles 90.00, 90.00, 120.00 degrees
With the nearest neighbours (Å) after each atom.
Space group R-3m (No. 166, hexagonal axes)
Inequivalent atoms, fractional coordinates:
Tb: 0.0000 0.0000 0.0000  6 Ag 3.21, 12 Pd 3.50-3.54
Tb: 0.0000 0.0000 0.1886  7 Pd 2.72-2.97
Ag: 0.0000 0.0000 0.3620  4 Pd 2.61-2.75
Pd: 0.0000 0.0000 0.2773  1 Ag 2.61, 1 Tb 2.72
Pd: 0.0026 0.5013 0.7692  4 Pd 2.66-2.70, 1 Ag 2.75, 2 Tb 2.97

Density functional theory data (PBE) for a relaxed structure of RbAlHgC2.

## Properties
VASP energy: -0.0657 hartree per atom
D(E_F): 0.889 states/eV/atom

Cell lengths 5.6696, 5.6696, 6.4950 Å; angles 90.00, 90.00, 90.00 degrees
With the nearest neighbours (Å) after each atom.
Space group P4/mmm (No. 123)
Inequivalent atoms, fractional coordinates:
Rb: 0.0000 0.0000 0.0000  4 C 2.83
Al: 0.5000 0.5000 0.5000  4 Hg 4.01, 8 C 4.31
Hg: 0.0000 0.0000 0.5000  2 Rb 3.25
C: 0.0000 0.5000 0.0000  2 Rb 2.83

Density functional theory data (PBE) for a relaxed structure of NdYTmHg.

## Properties
VASP energy: -0.1497 hartree per atom
D(E_F): 1.384 states/eV/atom
relative energy among the computed polymorphs: 170 meV per atom

Cell lengths 7.7158, 7.7158, 7.7158 Å; angles 90.00, 90.00, 90.00 degrees
With the nearest neighbours (Å) after each atom.
Space group F-43m (No. 216)
Inequivalent atoms, fractional coordinates:
Nd: 0.0000 0.0000 0.0000  4 Hg 3.34, 4 Tm 3.34
Y: 0.0000 0.0000 0.5000  4 Tm 3.34, 4 Hg 3.34
Tm: 0.2500 0.2500 0.2500  4 Nd 3.34, 4 Y 3.34
Hg: 0.2500 0.2500 0.7500  4 Y 3.34, 4 Nd 3.34

Density functional theory data (PBE) for a relaxed structure of CaSmTlIr.

## Properties
VASP energy: -0.1773 hartree per atom
D(E_F): 0.679 states/eV/atom

Cell lengths 7.2835, 7.2835, 7.2835 Å; angles 90.00, 90.00, 90.00 degrees
With the nearest neighbours (Å) after each atom.
Space group F-43m (No. 216)
Inequivalent atoms, fractional coordinates:
Ca: 0.0000 0.0000 0.0000  4 Tl 3.15, 4 Ir 3.15
Sm: 0.0000 0.0000 0.5000  4 Tl 3.15, 4 Ir 3.15
Tl: 0.2500 0.2500 0.2500  4 Ca 3.15, 4 Sm 3.15
Ir: 0.2500 0.2500 0.7500  4 Ca 3.15, 4 Sm 3.15

Density functional theory data (PBE) for a relaxed structure of BaAl3Os.

## Properties
VASP energy: -0.0794 hartree per atom
D(E_F): 2.860 states/eV/atom
relative energy among the computed polymorphs: 3089 meV per atom

Cell lengths 5.3777, 5.3777, 5.3777 Å; angles 90.00, 90.00, 90.00 degrees
With the nearest neighbours (Å) after each atom.
Space group Pm-3m (No. 221)
Inequivalent atoms, fractional coordinates:
Ba: 0.0000 0.0000 0.0000  6 Al 2.69
Al: 0.0000 0.0000 0.5000  2 Ba 2.69
Os: 0.5000 0.5000 0.5000  12 Al 3.80

Density functional theory data (PBE) for a relaxed structure of Cu3NiAu.

## Properties
VASP energy: -0.1543 hartree per atom
D(E_F): 0.838 states/eV/atom
relative energy among the computed polymorphs: 0 meV per atom

Cell lengths 4.3705, 11.6134, 5.2155 Å; angles 90.00, 90.00, 90.00 degrees
With the nearest neighbours (Å) after each atom.
Space group Cmcm (No. 63)
Inequivalent atoms, fractional coordinates:
Cu: 0.0000 0.1205 0.2500  2 Ni 2.56, 6 Cu 2.60-2.65, 3 Au 2.61-2.69
Cu: 0.0000 0.3138 0.5016  2 Ni 2.47-2.58, 7 Cu 2.59-2.65, 3 Au 2.69-2.70
Ni: 0.0000 0.4949 0.7500  6 Cu 2.47-2.58, 2 Au 2.57, 2 Ni 2.61
Au: 0.0000 0.1107 0.7500  2 Ni 2.57, 9 Cu 2.61-2.70

Density functional theory data (PBE) for a relaxed structure of CuAuNF2.

## Properties
VASP energy: -0.1373 hartree per atom
raw formation energy: 0.15 eV/atom
D(E_F): 0.446 states/eV/atom
relative energy among the computed polymorphs: 2 meV per atom

Cell lengths 3.7049, 3.7049, 4.4399 Å; angles 90.00, 90.00, 90.00 degrees
With the nearest neighbours (Å) after each atom.
Space group P4/mmm (No. 123)
Inequivalent atoms, fractional coordinates:
Cu: 0.0000 0.0000 0.0000  4 F 1.85
Au: 0.5000 0.5000 0.5000  4 N 2.62, 8 F 2.89
N: 0.0000 0.0000 0.5000  2 Cu 2.22
F: 0.0000 0.5000 0.0000  2 Cu 1.85

Density functional theory data (PBE) for a relaxed structure of Nb2AlFe5B2.

## Properties
VASP energy: -0.3082 hartree per atom
D(E_F): 0.822 states/eV/atom

Cell lengths 8.7091, 8.7091, 2.9096 Å; angles 90.00, 90.00, 90.00 degrees
With the nearest neighbours (Å) after each atom.
Space group P4/mbm (No. 127)
Inequivalent atoms, fractional coordinates:
Nb: 0.1772 0.3228 0.0000  3 B 2.48-2.65, 10 Fe 2.62-2.73
Al: 0.0000 0.0000 0.0000  8 Fe 2.48
Fe: 0.0000 0.5000 0.5000  4 B 2.09
Fe: 0.0678 0.7803 0.5000  2 B 2.06
B: 0.1215 0.6215 0.0000  6 Fe 2.06-2.09

Density functional theory data (PBE) for a relaxed structure of CaAc6La3.

## Properties
VASP energy: -0.1443 hartree per atom
D(E_F): 1.612 states/eV/atom

Cell lengths 12.8541, 18.1310, 7.5896 Å; angles 90.00, 90.00, 90.00 degrees
With the nearest neighbours (Å) after each atom.
Space group Cmc2_1 (No. 36)
Inequivalent atoms, fractional coordinates:
Ca: 0.0000 0.1766 0.0000  4 Ac 3.50-3.88, 2 La 3.82
Ac: 0.0000 0.0126 0.2442  1 Ca 3.50, 4 Ac 3.64-3.82, 4 La 3.73-3.87
Ac: 0.0000 0.3203 0.3312  3 La 3.54-3.92, 1 Ca 3.62, 2 Ac 3.95
Ac: 0.1490 0.3394 0.7842  2 La 3.46-3.83, 2 Ac 3.77-3.83
Ac: 0.2459 0.4590 0.4130  3 La 3.57-3.95, 3 Ac 3.64-3.98
La: 0.0000 0.4874 0.0888  5 Ac 3.54-3.97, 2 La 3.82
La: 0.1359 0.1512 0.5563  4 Ac 3.46-3.83, 1 La 3.49, 1 Ca 3.82

Density functional theory data (PBE) for a relaxed structure of InSiGe.

## Properties
VASP energy: -0.1487 hartree per atom
raw formation energy: 0.21 eV/atom
D(E_F): 0.313 states/eV/atom
relative energy among the computed polymorphs: 13 meV per atom

Cell lengths 3.9379, 5.4582, 7.8443 Å; angles 79.63, 75.56, 69.36 degrees
With the nearest neighbours (Å) after each atom.
Space group P1 (No. 1)
Inequivalent atoms, fractional coordinates:
In: 0.0000 0.0000 0.0000  1 Si 2.71, 2 Ge 2.72-2.83, 2 In 3.02-3.03
In: 0.4710 0.3053 0.7557  1 Ge 2.76, 2 In 3.02-3.03, 1 Si 3.04
Si: 0.7043 0.3163 0.2653  1 Si 2.38, 2 Ge 2.41
Si: 0.7952 0.9304 0.4689  1 Si 2.38, 3 Ge 2.44-2.49
Ge: 0.0746 0.5894 0.2576  3 Si 2.41-2.49
Ge: 0.2472 0.8395 0.6546  2 Si 2.44